No. 1
Density functional theory data (PBE) for a geometry-optimized CaInAgPd structure.

Results
As for the total energy: -3.6561 eV/atom.

Cell lengths 4.8906, 4.8906, 4.8906 Å; angles 60.00, 60.00, 60.00 degrees
With the nearest neighbours (Å) after each atom.
Atoms (fractional coordinates):
Ca1 0.0000 0.0000 0.0000  4 Pd 2.99, 4 Ag 2.99
In1 0.5000 0.5000 0.5000  4 Ag 2.99, 4 Pd 2.99
Ag1 0.7500 0.7500 0.7500  4 In 2.99, 4 Ca 2.99
Pd1 0.2500 0.2500 0.2500  4 In 2.99, 4 Ca 2.99

=====

No. 2
Density functional theory data (PBE) for a geometry-optimized CaPmInAg structure.

Results
As for the total energy: -3.4884 eV/atom.

Cell lengths 5.3552, 5.3552, 5.3552 Å; angles 60.00, 60.00, 60.00 degrees
With the nearest neighbours (Å) after each atom.
Atoms (fractional coordinates):
Ca1 0.0000 0.0000 0.0000  4 In 3.28, 4 Ag 3.28
Pm1 0.5000 0.5000 0.5000  4 In 3.28, 4 Ag 3.28
In1 0.2500 0.2500 0.2500  4 Ca 3.28, 4 Pm 3.28
Ag1 0.7500 0.7500 0.7500  4 Ca 3.28, 4 Pm 3.28

=====

no.,formation energy from the elements (eV per atom),size of the total moment (μB per atom)
1,-0.460,0.000
2,-0.403,0.000